1.
Dy4NpP5 | PBE-GGA | optimized geometry

Calculated values
The density of states at the Fermi level is 0.97 states/eV/atom. The calculated volume comes out at 225.2 Å³/cell. The calculation puts the total magnetization at 3.6 μB per formula unit. For the energy relative to the elements, the calculation gives -141.2 kJ per mole of atoms.

```
Dy4NpP5
1.0
3.920 0.000 -0.756
-0.291 5.427 -1.506
0.008 0.007 10.580
Dy Np P
4 1 5
Direct
0.399 0.399 0.798
0.799 0.799 0.598
0.201 0.201 0.402
0.601 0.601 0.202
0.000 0.000 0.000
0.597 0.097 0.195
0.799 0.299 0.599
0.201 0.701 0.401
0.000 0.500 0.000
0.403 0.903 0.805
```

=====

2.
LaHoMnZn | PBE-GGA | optimized geometry

Calculated values
The density of states at the Fermi level is 1.45 states/eV/atom. The calculated volume comes out at 95.9 Å³/cell. The calculation puts the total magnetization at 2.8 μB per formula unit. For the energy relative to the elements, the calculation gives -0.8 kJ per mole of atoms.

```
LaHoMnZn
1.0
-1.158 -4.870 1.157
3.549 -3.050 2.120
-0.450 -1.436 4.912
Zn Mn Ho La
1 1 1 1
Direct
0.500 0.500 0.500
0.000 0.000 0.000
0.750 0.750 0.750
0.250 0.250 0.250
```